1.
CaVP2O7 | GGA-PBEsol | optimized geometry

Calculated values
As for the uncorrected formation energy: -2414.2 meV per atom.

a = 6.444 Å, b = 6.559 Å, c = 6.608 Å
α = 66.15°, β = 87.82°, γ = 82.64°
Atoms (fractional coordinates):
Ca (0.133, 0.235, 0.319)
Ca (0.867, 0.765, 0.681)
V (0.347, 0.398, 0.721)
V (0.653, 0.602, 0.279)
P (0.146, 0.735, 0.245)
P (0.373, 0.860, 0.824)
P (0.627, 0.140, 0.176)
P (0.854, 0.265, 0.755)
O (0.024, 0.389, 0.796)
O (0.067, 0.886, 0.360)
O (0.229, 0.899, 0.016)
O (0.266, 0.704, 0.757)
O (0.331, 0.554, 0.364)
O (0.372, 0.101, 0.649)
O (0.409, 0.244, 0.071)
O (0.591, 0.756, 0.929)
O (0.628, 0.899, 0.351)
O (0.669, 0.446, 0.636)
O (0.734, 0.296, 0.243)
O (0.771, 0.101, 0.984)
O (0.933, 0.114, 0.640)
O (0.976, 0.611, 0.204)



2.
KYHf2Zr | GGA-PBEsol | optimized geometry

Calculated values
As for the total DFT energy (no corrections): -6.050 eV per atom. The density of states at the Fermi level is 1.624 states/eV/atom.

a = 5.355 Å, b = 5.355 Å, c = 5.302 Å
α = 90.00°, β = 90.00°, γ = 90.00°
Atoms (fractional coordinates):
K (0.000, 0.000, 0.000)
Y (0.500, 0.500, 0.500)
Hf (0.000, 0.500, 0.500)
Hf (0.500, 0.000, 0.500)
Zr (0.500, 0.500, 0.000)



3.
Cs2NiP2S6 | GGA-PBEsol | optimized geometry

Calculated values
As for the uncorrected formation energy: -676.1 meV per atom. The density of states at the Fermi level is 0.006 states/eV/atom.

a = 5.842 Å, b = 12.602 Å, c = 9.247 Å
α = 90.00°, β = 124.79°, γ = 90.00°
Atoms (fractional coordinates):
Cs (0.201, 0.173, 0.468)
Cs (0.201, 0.327, 0.968)
Cs (0.799, 0.673, 0.032)
Cs (0.799, 0.827, 0.532)
Ni (0.500, 0.000, 0.000)
Ni (0.500, 0.500, 0.500)
P (0.167, 0.539, 0.622)
P (0.167, 0.961, 0.122)
P (0.833, 0.039, 0.878)
P (0.833, 0.461, 0.378)
S (0.037, 0.073, 0.767)
S (0.037, 0.427, 0.267)
S (0.299, 0.658, 0.539)
S (0.299, 0.842, 0.039)
S (0.480, 0.069, 0.237)
S (0.480, 0.431, 0.737)
S (0.520, 0.569, 0.263)
S (0.520, 0.931, 0.763)
S (0.701, 0.158, 0.961)
S (0.701, 0.342, 0.461)
S (0.963, 0.573, 0.733)
S (0.963, 0.927, 0.233)



Here are the calculated volume numbers, same order: 11.5, 30.4, 25.4 (Å³ per atom).